Record 1
## TbPrTmSc (PBE-GGA)

Data for crystalline TbPrTmSc at its relaxed geometry.

**Crystal system**: cubic
**Formation enthalpy at 0 K**: 0.10 eV per atom
**DOS at the Fermi energy**: 5.802 states/eV per cell
**Offset from the most stable computed form**: 0.038 eV/atom
**Space-group type**: F-43m, No. 216

Unit cell a=5.578 b=5.578 c=5.578 alpha=60.00 beta=60.00 gamma=60.00
Fractional coordinates of all 4 atoms:
Pr (0.750, 0.750, 0.750)
Sc (0.000, 0.000, 0.000)
Tm (0.500, 0.500, 0.500)
Tb (0.250, 0.250, 0.250)


Record 2
## LiTbTcN3 (PBE-GGA)

Data for crystalline LiTbTcN3 at its relaxed geometry.

**Formation energy without anion corrections**: -3.3 eV per formula unit
**Crystal system**: orthorhombic
**DOS at the Fermi energy**: 0.675 states/eV per cell
**Space-group type**: Cmcm, No. 63

Unit cell a=3.329 b=5.885 c=7.951 alpha=90.00 beta=90.00 gamma=106.43
Fractional coordinates of all 12 atoms:
Li (0.000, 0.000, 0.500)
Li (0.000, 0.000, 0.000)
Tb (0.703, 0.406, 0.750)
Tb (0.297, 0.594, 0.250)
Tc (0.443, 0.885, 0.750)
Tc (0.557, 0.115, 0.250)
N (0.648, 0.295, 0.436)
N (0.352, 0.705, 0.564)
N (0.352, 0.705, 0.936)
N (0.648, 0.295, 0.064)
N (0.051, 0.103, 0.750)
N (0.949, 0.897, 0.250)


Record 3
## BaCaSi4 (PBE-GGA)

Data for crystalline BaCaSi4 at its relaxed geometry.

**Formation energy without anion corrections**: -0.8 eV per formula unit
**Crystal system**: cubic
**DOS at the Fermi energy**: 0.421 states/eV per cell
**Offset from the most stable computed form**: 0.160 eV/atom
**Space-group type**: F-43m, No. 216

Unit cell a=5.795 b=5.795 c=5.795 alpha=60.00 beta=60.00 gamma=60.00
Fractional coordinates of all 6 atoms:
Ba (0.750, 0.750, 0.750)
Ca (0.000, 0.000, 0.000)
Si (0.824, 0.392, 0.392)
Si (0.392, 0.392, 0.824)
Si (0.392, 0.824, 0.392)
Si (0.392, 0.392, 0.392)


Record 4
## Pa2Si3GePt4 (PBE-GGA)

Data for crystalline Pa2Si3GePt4 at its relaxed geometry.

**Formation energy without anion corrections**: -9.0 eV per formula unit
**Crystal system**: tetragonal
**DOS at the Fermi energy**: 6.430 states/eV per cell
**Space-group type**: P-4m2, No. 115

Unit cell a=4.292 b=4.292 c=9.686 alpha=90.00 beta=90.00 gamma=90.00
Each line ends with the local moment (μB).
Fractional coordinates of all 10 atoms:
Pa (0.500, 0.000, 0.248)  0.14
Pa (0.000, 0.500, 0.752)  0.14
Si (0.000, 0.000, 0.500)  0.00
Si (0.500, 0.000, 0.871)  0.00
Si (0.000, 0.500, 0.129)  0.00
Ge (0.500, 0.500, 0.500)  0.00
Pt (0.500, 0.500, 0.000)  0.00
Pt (0.000, 0.000, 0.000)  0.00
Pt (0.500, 0.000, 0.627)  0.00
Pt (0.000, 0.500, 0.373)  0.00


Record 5
## PmYTm5 (PBE-GGA)

Data for crystalline PmYTm5 at its relaxed geometry.

**Crystal system**: monoclinic
**Formation enthalpy at 0 K**: 0.20 eV per atom
**DOS at the Fermi energy**: 17.181 states/eV per cell
**Offset from the most stable computed form**: 0.000 eV/atom
**Space-group type**: C2/c, No. 15

Unit cell a=6.680 b=6.680 c=13.671 alpha=61.18 beta=61.18 gamma=60.66
Fractional coordinates of all 14 atoms:
Pm (0.725, 0.275, 0.750)
Pm (0.275, 0.725, 0.250)
Y (0.000, 0.000, 0.000)
Y (0.000, 0.000, 0.500)
Tm (0.172, 0.390, 0.748)
Tm (0.645, 0.696, 0.501)
Tm (0.390, 0.172, 0.248)
Tm (0.162, 0.838, 0.750)
Tm (0.304, 0.355, 0.999)
Tm (0.696, 0.645, 0.001)
Tm (0.838, 0.162, 0.250)
Tm (0.610, 0.828, 0.752)
Tm (0.355, 0.304, 0.499)
Tm (0.828, 0.610, 0.252)


Record 6
## PIrO5 (PBE-GGA)

Data for crystalline PIrO5 at its relaxed geometry.

**Formation energy without anion corrections**: -9.5 eV per formula unit
**Crystal system**: monoclinic
**DOS at the Fermi energy**: 5.317 states/eV per cell
**Space-group type**: C2/c, No. 15

Unit cell a=5.277 b=5.277 c=7.084 alpha=106.00 beta=106.00 gamma=101.58
Fractional coordinates of all 14 atoms:
P (0.676, 0.324, 0.750)
P (0.324, 0.676, 0.250)
Ir (0.000, 0.000, 0.000)
Ir (0.000, 0.000, 0.500)
O (0.745, 0.618, 0.909)
O (0.255, 0.382, 0.091)
O (0.382, 0.255, 0.591)
O (0.618, 0.745, 0.409)
O (0.079, 0.921, 0.750)
O (0.921, 0.079, 0.250)
O (0.674, 0.112, 0.864)
O (0.326, 0.888, 0.136)
O (0.888, 0.326, 0.636)
O (0.112, 0.674, 0.364)


Record 7
## SrTc2AuO8 (PBE-GGA)

Data for crystalline SrTc2AuO8 at its relaxed geometry.

**Formation energy without anion corrections**: -17.4 eV per formula unit
**Crystal system**: trigonal
**DOS at the Fermi energy**: 5.811 states/eV per cell
**Space-group type**: R-3m, No. 166

Unit cell a=6.678 b=6.678 c=7.140 alpha=62.12 beta=62.12 gamma=60.00
Each line ends with the local moment (μB).
Fractional coordinates of all 12 atoms:
Sr (0.000, 0.000, 0.000)  -0.01
Tc (0.708, 0.708, 0.876)  -0.36
Tc (0.292, 0.292, 0.124)  -0.36
Au (0.500, 0.500, 0.500)  0.01
O (0.609, 0.609, 0.172)  -0.02
O (0.391, 0.391, 0.828)  -0.02
O (0.551, 0.117, 0.214)  -0.03
O (0.883, 0.449, 0.786)  -0.03
O (0.883, 0.883, 0.786)  -0.03
O (0.117, 0.117, 0.214)  -0.03
O (0.117, 0.551, 0.214)  -0.03
O (0.449, 0.883, 0.786)  -0.03


Record 8
## HoCrAs (PBE-GGA)

Data for crystalline HoCrAs at its relaxed geometry.

**Crystal system**: trigonal
**Formation enthalpy at 0 K**: -0.33 eV per atom
**DOS at the Fermi energy**: 6.060 states/eV per cell
**Space-group type**: R-3m, No. 166

Unit cell a=3.825 b=3.825 c=10.187 alpha=79.18 beta=79.18 gamma=60.00
Each line ends with the local moment (μB).
Fractional coordinates of all 6 atoms:
As (0.225, 0.225, 0.326)  -0.04
As (0.775, 0.775, 0.674)  -0.04
Ho (0.382, 0.382, 0.854)  0.00
Ho (0.618, 0.618, 0.146)  0.00
Cr (0.857, 0.857, 0.429)  1.05
Cr (0.143, 0.143, 0.571)  1.05


Record 9
## Li5FeIN2 (PBE-GGA)

Data for crystalline Li5FeIN2 at its relaxed geometry.

**Formation energy without anion corrections**: -4.3 eV per formula unit
**Crystal system**: tetragonal
**Space-group type**: P4/mmm, No. 123

Unit cell a=4.284 b=4.284 c=7.507 alpha=90.00 beta=90.00 gamma=90.00
Each line ends with the local moment (μB).
Fractional coordinates of all 9 atoms:
Li (0.000, 0.000, 0.500)  0.00
Li (0.000, 0.500, 0.801)  0.00
Li (0.500, 0.000, 0.199)  0.00
Li (0.000, 0.500, 0.199)  0.00
Li (0.500, 0.000, 0.801)  0.00
Fe (0.000, 0.000, 0.000)  -0.07
I (0.500, 0.500, 0.500)  0.00
N (0.000, 0.000, 0.225)  0.01
N (0.000, 0.000, 0.775)  0.01


Record 10
## ThCu5Ag (PBE-GGA)

Data for crystalline ThCu5Ag at its relaxed geometry.

**Crystal system**: orthorhombic
**Formation enthalpy at 0 K**: -0.15 eV per atom
**DOS at the Fermi energy**: 13.198 states/eV per cell
**Space-group type**: Pnma, No. 62

Unit cell a=5.096 b=8.314 c=10.420 alpha=90.00 beta=90.00 gamma=90.00
Fractional coordinates of all 28 atoms:
Th (0.250, 0.243, 0.934)
Th (0.750, 0.257, 0.434)
Th (0.250, 0.743, 0.566)
Th (0.750, 0.757, 0.066)
Cu (0.250, 0.586, 0.015)
Cu (0.750, 0.914, 0.515)
Cu (0.250, 0.086, 0.485)
Cu (0.750, 0.414, 0.985)
Cu (0.750, 0.314, 0.755)
Cu (0.250, 0.186, 0.255)
Cu (0.750, 0.814, 0.745)
Cu (0.250, 0.686, 0.245)
Cu (0.250, 0.949, 0.107)
Cu (0.750, 0.551, 0.607)
Cu (0.250, 0.449, 0.393)
Cu (0.750, 0.051, 0.893)
Cu (0.998, 0.434, 0.187)
Cu (0.002, 0.066, 0.687)
Cu (0.502, 0.934, 0.313)
Cu (0.498, 0.566, 0.813)
Cu (0.002, 0.566, 0.813)
Cu (0.998, 0.934, 0.313)
Cu (0.498, 0.066, 0.687)
Cu (0.502, 0.434, 0.187)
Ag (0.250, 0.860, 0.863)
Ag (0.750, 0.640, 0.363)
Ag (0.250, 0.360, 0.637)
Ag (0.750, 0.140, 0.137)


Record 11
## PuTlPtAu (PBE-GGA)

Data for crystalline PuTlPtAu at its relaxed geometry.

**Crystal system**: cubic
**Formation enthalpy at 0 K**: -0.33 eV per atom
**DOS at the Fermi energy**: 14.042 states/eV per cell
**Space-group type**: F-43m, No. 216

Unit cell a=4.986 b=4.986 c=4.986 alpha=60.00 beta=60.00 gamma=60.00
Each line ends with the local moment (μB).
Fractional coordinates of all 4 atoms:
Tl (0.500, 0.500, 0.500)  0.00
Au (0.250, 0.250, 0.250)  0.00
Pt (0.750, 0.750, 0.750)  -0.08
Pu (0.000, 0.000, 0.000)  5.13


Record 12
## AcPu2Pt2 (PBE-GGA)

Data for crystalline AcPu2Pt2 at its relaxed geometry.

**Crystal system**: orthorhombic
**Formation enthalpy at 0 K**: -0.67 eV per atom
**DOS at the Fermi energy**: 38.947 states/eV per cell
**Space-group type**: Cmc2_1, No. 36

Unit cell a=4.271 b=7.257 c=9.005 alpha=90.00 beta=90.00 gamma=107.12
Each line ends with the local moment (μB).
Fractional coordinates of all 10 atoms:
Ac (0.405, 0.810, 0.350)  0.00
Ac (0.595, 0.190, 0.850)  0.00
Pu (0.315, 0.630, 0.966)  -5.10
Pu (0.685, 0.370, 0.466)  -5.10
Pu (0.113, 0.226, 0.208)  5.17
Pu (0.887, 0.774, 0.708)  5.17
Pt (0.248, 0.497, 0.661)  0.00
Pt (0.752, 0.503, 0.161)  0.00
Pt (0.953, 0.906, 0.020)  -0.02
Pt (0.047, 0.094, 0.520)  -0.02


no.,spin magnetization (μB per formula unit)
1,0.0
2,0.0
3,0.0
4,0.3
5,0.0
6,0.0
7,1.1
8,1.1
9,0.0
10,0.0
11,5.2
12,0.1